Density functional theory data (PBE) for a relaxed structure of GdHfPdRu.

Crystal system: cubic
DFT formation energy, kcal/mol of atoms: -13.0

Lattice parameters (Å, degrees): 6.760 6.760 6.760 90.00 90.00 90.00
Space group F-43m (No. 216)
One atom of each set of equivalent atoms:
Gd (0.000, 0.000, 0.000) (multiplicity 4)
Hf (0.000, 0.000, 0.500) (multiplicity 4)
Pd (0.250, 0.250, 0.750) (multiplicity 4)
Ru (0.250, 0.250, 0.250) (multiplicity 4)